{
  "formula": "Tm2MgB2Ru5",
  "functional": "PBE",
  "state": "relaxed",
  "cell": [[9.622, 0.000, 0.000], [0.000, 9.622, 0.000], [0.000, 0.000, 3.129]],
  "species": ["Tm", "Tm", "Tm", "Tm", "Mg", "Mg", "B", "B", "B", "B", "Ru", "Ru", "Ru", "Ru", "Ru", "Ru", "Ru", "Ru", "Ru", "Ru"],
  "frac_coords": [[0.176, 0.324, 0.000], [0.324, 0.824, 0.000], [0.676, 0.176, 0.000], [0.824, 0.676, 0.000], [0.000, 0.000, 0.000], [0.500, 0.500, 0.000], [0.124, 0.624, 0.000], [0.376, 0.124, 0.000], [0.624, 0.876, 0.000], [0.876, 0.376, 0.000], [0.000, 0.500, 0.500], [0.071, 0.777, 0.500], [0.223, 0.071, 0.500], [0.277, 0.571, 0.500], [0.429, 0.277, 0.500], [0.500, 0.000, 0.500], [0.571, 0.723, 0.500], [0.723, 0.429, 0.500], [0.777, 0.929, 0.500], [0.929, 0.223, 0.500]],
  "spacegroup": "P4/mbm",
  "total_energy_ev_per_atom": -7.411,
  "vol_a3_per_cell": 289.7
}

=====

{
  "formula": "TaFeSe2",
  "functional": "PBE",
  "state": "relaxed",
  "cell": [[1.627, 0.940, 9.062], [-1.627, 0.940, 9.062], [0.000, -1.879, 9.062]],
  "species": ["Ta", "Fe", "Se", "Se"],
  "frac_coords": [[0.000, 0.000, 0.000], [0.740, 0.740, 0.740], [0.268, 0.268, 0.268], [0.463, 0.463, 0.463]],
  "raw_formation_energy_ev_per_atom": -0.2071,
  "spacegroup": "R3m",
  "de_polymorph_mev_per_atom": 319,
  "vol_a3_per_cell": 83.1
}

=====

{
  "formula": "Ca2La6Nd",
  "functional": "PBE",
  "state": "relaxed",
  "cell": [[-1.812, 5.604, 8.389], [1.812, -5.604, 8.389], [1.812, 5.604, -8.389]],
  "species": ["Ca", "Ca", "La", "La", "La", "La", "La", "La", "Nd"],
  "frac_coords": [[0.152, 0.152, 0.000], [0.848, 0.848, 0.000], [0.156, 0.826, 0.331], [0.206, 0.500, 0.706], [0.495, 0.826, 0.669], [0.505, 0.174, 0.331], [0.794, 0.500, 0.294], [0.844, 0.174, 0.669], [0.500, 0.000, 0.500]],
  "spacegroup": "Immm",
  "total_energy_ev_per_atom": -4.154,
  "vol_a3_per_cell": 340.7
}

=====

{
  "formula": "CrAg2P",
  "functional": "PBE",
  "state": "relaxed",
  "cell": [[0.000, 3.217, 3.217], [3.217, 0.000, 3.217], [3.217, 3.217, 0.000]],
  "species": ["Cr", "Ag", "Ag", "P"],
  "frac_coords": [[0.000, 0.000, 0.000], [0.500, 0.500, 0.500], [0.750, 0.750, 0.750], [0.250, 0.250, 0.250]],
  "spacegroup": "F-43m",
  "total_energy_ev_per_atom": -4.837,
  "vol_a3_per_cell": 66.6
}

=====

{
  "formula": "Pr6Pd5Rh",
  "functional": "PBE",
  "state": "relaxed",
  "cell": [[8.159, -3.590, 0.000], [8.159, 3.590, 0.000], [-1.618, 0.000, 4.913]],
  "species": ["Pr", "Pr", "Pr", "Pr", "Pr", "Pr", "Pd", "Pd", "Pd", "Pd", "Pd", "Rh"],
  "frac_coords": [[0.084, 0.589, 0.336], [0.245, 0.755, 0.000], [0.411, 0.916, 0.664], [0.589, 0.084, 0.336], [0.755, 0.245, 0.000], [0.916, 0.411, 0.664], [0.170, 0.170, 0.170], [0.333, 0.333, 0.833], [0.500, 0.500, 0.500], [0.667, 0.667, 0.167], [0.830, 0.830, 0.830], [0.000, 0.000, 0.500]],
  "spacegroup": "C2/m",
  "de_polymorph_mev_per_atom": 0,
  "vol_a3_per_cell": 287.8
}

=====

{
  "formula": "In12As3Cl5",
  "functional": "PBE",
  "state": "relaxed",
  "cell": [[-8.920, 8.920, 8.920], [8.920, -8.920, 8.920], [8.920, 8.920, -8.920]],
  "species": ["In", "In", "In", "In", "In", "In", "In", "In", "In", "In", "In", "In", "In", "In", "In", "In", "In", "In", "In", "In", "In", "In", "In", "In", "In", "In", "In", "In", "In", "In", "In", "In", "In", "In", "In", "In", "In", "In", "In", "In", "In", "In", "In", "In", "In", "In", "In", "In", "As", "As", "As", "As", "As", "As", "As", "As", "As", "As", "As", "As", "Cl", "Cl", "Cl", "Cl", "Cl", "Cl", "Cl", "Cl", "Cl", "Cl", "Cl", "Cl", "Cl", "Cl", "Cl", "Cl", "Cl", "Cl", "Cl", "Cl"],
  "frac_coords": [[0.062, 0.226, 0.152], [0.062, 0.337, 0.911], [0.074, 0.726, 0.663], [0.074, 0.848, 0.411], [0.089, 0.652, 0.426], [0.089, 0.938, 0.663], [0.152, 0.062, 0.226], [0.152, 0.589, 0.926], [0.163, 0.226, 0.574], [0.163, 0.438, 0.589], [0.226, 0.152, 0.062], [0.226, 0.574, 0.163], [0.274, 0.337, 0.926], [0.274, 0.438, 0.348], [0.337, 0.911, 0.062], [0.337, 0.926, 0.274], [0.348, 0.274, 0.438], [0.348, 0.574, 0.911], [0.411, 0.074, 0.848], [0.411, 0.837, 0.562], [0.426, 0.089, 0.652], [0.426, 0.837, 0.774], [0.438, 0.348, 0.274], [0.438, 0.589, 0.163], [0.562, 0.411, 0.837], [0.562, 0.652, 0.726], [0.574, 0.163, 0.226], [0.574, 0.911, 0.348], [0.589, 0.163, 0.438], [0.589, 0.926, 0.152], [0.652, 0.426, 0.089], [0.652, 0.726, 0.562], [0.663, 0.074, 0.726], [0.663, 0.089, 0.938], [0.726, 0.562, 0.652], [0.726, 0.663, 0.074], [0.774, 0.426, 0.837], [0.774, 0.848, 0.938], [0.837, 0.562, 0.411], [0.837, 0.774, 0.426], [0.848, 0.411, 0.074], [0.848, 0.938, 0.774], [0.911, 0.062, 0.337], [0.911, 0.348, 0.574], [0.926, 0.152, 0.589], [0.926, 0.274, 0.337], [0.938, 0.663, 0.089], [0.938, 0.774, 0.848], [0.125, 0.250, 0.375], [0.125, 0.375, 0.750], [0.250, 0.375, 0.125], [0.250, 0.875, 0.625], [0.375, 0.125, 0.250], [0.375, 0.750, 0.125], [0.625, 0.250, 0.875], [0.625, 0.875, 0.750], [0.750, 0.125, 0.375], [0.750, 0.625, 0.875], [0.875, 0.625, 0.250], [0.875, 0.750, 0.625], [0.000, 0.000, 0.000], [0.000, 0.000, 0.500], [0.000, 0.500, 0.000], [0.000, 0.500, 0.500], [0.125, 0.750, 0.875], [0.125, 0.875, 0.250], [0.250, 0.125, 0.875], [0.250, 0.625, 0.375], [0.375, 0.250, 0.625], [0.375, 0.625, 0.750], [0.500, 0.000, 0.000], [0.500, 0.000, 0.500], [0.500, 0.500, 0.000], [0.500, 0.500, 0.500], [0.625, 0.375, 0.250], [0.625, 0.750, 0.375], [0.750, 0.375, 0.625], [0.750, 0.875, 0.125], [0.875, 0.125, 0.750], [0.875, 0.250, 0.125]],
  "raw_formation_energy_ev_per_atom": -0.1569,
  "spacegroup": "Ia-3d",
  "vol_a3_per_cell": 2839.0
}

=====

{
  "formula": "YCoIN2",
  "functional": "PBE",
  "state": "relaxed",
  "cell": [[4.070, 0.000, 0.000], [0.000, 4.070, 0.000], [0.000, 0.000, 4.913]],
  "species": ["Y", "Co", "I", "N", "N"],
  "frac_coords": [[0.000, 0.000, 0.000], [0.500, 0.500, 0.500], [0.500, 0.500, 0.000], [0.000, 0.500, 0.500], [0.500, 0.000, 0.500]],
  "raw_formation_energy_ev_per_atom": 0.6984,
  "spacegroup": "P4/mmm",
  "de_polymorph_mev_per_atom": 0,
  "vol_a3_per_cell": 81.4
}

=====

{
  "formula": "Tc2HgSe",
  "functional": "PBE",
  "state": "relaxed",
  "cell": [[1.509, -2.635, 0.000], [1.509, 2.635, 0.000], [0.000, 0.000, 8.736]],
  "species": ["Tc", "Tc", "Hg", "Se"],
  "frac_coords": [[0.000, 0.000, 0.219], [0.000, 0.000, 0.781], [0.500, 0.500, 0.500], [0.500, 0.500, 0.000]],
  "raw_formation_energy_ev_per_atom": 0.6657,
  "spacegroup": "Cmmm",
  "de_polymorph_mev_per_atom": 502,
  "vol_a3_per_cell": 69.5
}

=====

{
  "formula": "NdSm5Ag4",
  "functional": "PBE",
  "state": "relaxed",
  "cell": [[3.689, 0.000, 0.000], [0.000, 3.689, 0.000], [0.000, 0.000, 20.103]],
  "species": ["Nd", "Sm", "Sm", "Sm", "Sm", "Sm", "Ag", "Ag", "Ag", "Ag"],
  "frac_coords": [[0.000, 0.000, 0.000], [0.500, 0.500, 0.127], [0.500, 0.500, 0.313], [0.500, 0.500, 0.500], [0.500, 0.500, 0.687], [0.500, 0.500, 0.873], [0.000, 0.000, 0.220], [0.000, 0.000, 0.406], [0.000, 0.000, 0.594], [0.000, 0.000, 0.780]],
  "spacegroup": "P4/mmm",
  "total_energy_ev_per_atom": -4.198,
  "vol_a3_per_cell": 273.6
}

=====

{
  "formula": "Li2GaCSe",
  "functional": "PBE",
  "state": "relaxed",
  "cell": [[4.706, 0.000, 0.000], [0.000, 4.706, 0.000], [0.000, 0.000, 4.182]],
  "species": ["Li", "Li", "Ga", "C", "Se"],
  "frac_coords": [[0.000, 0.500, 0.000], [0.500, 0.000, 0.000], [0.000, 0.000, 0.500], [0.500, 0.500, 0.500], [0.500, 0.500, 0.000]],
  "raw_formation_energy_ev_per_atom": 0.6896,
  "spacegroup": "P4/mmm",
  "vol_a3_per_cell": 92.6
}

=====

{
  "formula": "TiTlGaW2",
  "functional": "PBE",
  "state": "relaxed",
  "cell": [[4.690, 0.000, 0.000], [0.000, 4.690, 0.000], [0.000, 0.000, 4.891]],
  "species": ["Ti", "Tl", "Ga", "W", "W"],
  "frac_coords": [[0.000, 0.000, 0.000], [0.500, 0.500, 0.500], [0.000, 0.000, 0.500], [0.000, 0.500, 0.000], [0.500, 0.000, 0.000]],
  "spacegroup": "P4/mmm",
  "total_energy_ev_per_atom": -6.267,
  "vol_a3_per_cell": 107.6
}

=====

{
  "formula": "NdHoSb2",
  "functional": "PBE",
  "state": "relaxed",
  "cell": [[2.208, 1.275, 7.539], [-2.208, 1.275, 7.539], [0.000, -2.550, 7.539]],
  "species": ["Nd", "Ho", "Sb", "Sb"],
  "frac_coords": [[0.000, 0.000, 0.000], [0.171, 0.171, 0.171], [0.421, 0.421, 0.421], [0.584, 0.584, 0.584]],
  "raw_formation_energy_ev_per_atom": -1.0221,
  "spacegroup": "R3m",
  "de_polymorph_mev_per_atom": 125,
  "vol_a3_per_cell": 127.4
}

=====

| no. | spin magnetization (μB/cell) |
| --- | --- |
| 1 | 0.0 |
| 2 | 2.2 |
| 3 | 0.0 |
| 4 | 3.9 |
| 5 | 0.0 |
| 6 | 0.0 |
| 7 | 2.7 |
| 8 | 0.0 |
| 9 | 0.0 |
| 10 | 0.0 |
| 11 | 0.0 |
| 12 | 0.0 |